## PWCl2O (PBE with a Hubbard U)

Data for a relaxed PWCl2O crystal.

POSCAR file:
```
PWCl2O
1.0
5.591 0.000 0.000
0.000 5.591 0.000
0.000 0.000 3.306
O W Cl P
1 1 2 1
Cartesian
0.000 0.000 0.000
2.796 2.796 1.653
0.000 2.796 0.000
2.796 0.000 0.000
0.000 0.000 1.653
```

Computed properties:
Relative energy among the computed polymorphs   0.000 eV per atom
Total DFT energy (no corrections)   -3.677 eV/atom